# ZrSiN | the Alexandria database | PBE | optimized geometry
data_ZrSiN
_chemical_formula_sum 'Zr2 Si2 N2'
_symmetry_space_group_name_H-M 'P 1'
_symmetry_Int_Tables_number 1
_cell_length_a 3.052
_cell_length_b 5.192
_cell_length_c 5.282
_cell_angle_alpha 90.00
_cell_angle_beta 90.00
_cell_angle_gamma 90.00
loop_
_symmetry_equiv_pos_as_xyz
'x,y,z'
loop_
_atom_site_label
_atom_site_type_symbol
_atom_site_fract_x
_atom_site_fract_y
_atom_site_fract_z
_atom_site_occupancy
Zr1 Zr 0.000 0.173 0.984 1
Si1 Si 0.500 0.638 0.947 1
Zr2 Zr 0.000 0.827 0.484 1
N1 N 0.500 0.104 0.669 1
Si2 Si 0.500 0.362 0.447 1
N2 N 0.500 0.896 0.169 1
# M_tot = 0.000 μB per atom
# Calculated density = 5.29 g/cm3
# Final energy = -49.39 eV/cell
# Fermi-level density of states = 2.828 states/eV per cell
# E_form (uncorrected) = -0.80 eV per atom

=====

# LuAg2Au | the Alexandria database | PBE | optimized geometry
data_LuAg2Au
_chemical_formula_sum 'Lu1 Ag2 Au1'
_symmetry_space_group_name_H-M 'P 1'
_symmetry_Int_Tables_number 1
_cell_length_a 4.805
_cell_length_b 4.805
_cell_length_c 4.805
_cell_angle_alpha 60.00
_cell_angle_beta 60.00
_cell_angle_gamma 60.00
loop_
_symmetry_equiv_pos_as_xyz
'x,y,z'
loop_
_atom_site_label
_atom_site_type_symbol
_atom_site_fract_x
_atom_site_fract_y
_atom_site_fract_z
_atom_site_occupancy
Lu1 Lu 0.500 0.500 0.500 1
Au1 Au 0.000 0.000 0.000 1
Ag1 Ag 0.250 0.250 0.250 1
Ag2 Ag 0.750 0.750 0.750 1
# M_tot = 0.000 μB per atom
# Calculated density = 12.44 g/cm3
# Final energy = -14.84 eV/cell
# Formation enthalpy at 0 K = -0.335 eV/atom
# Fermi-level density of states = 1.990 states/eV per cell
# Energy above the lowest structure with this stoichiometry = 0 meV/atom

=====

# Hf2NbBr | the Alexandria database | PBE | optimized geometry
data_Hf2NbBr
_chemical_formula_sum 'Hf4 Nb2 Br2'
_symmetry_space_group_name_H-M 'P 1'
_symmetry_Int_Tables_number 1
_cell_length_a 4.173
_cell_length_b 4.173
_cell_length_c 10.411
_cell_angle_alpha 78.44
_cell_angle_beta 78.44
_cell_angle_gamma 90.00
loop_
_symmetry_equiv_pos_as_xyz
'x,y,z'
loop_
_atom_site_label
_atom_site_type_symbol
_atom_site_fract_x
_atom_site_fract_y
_atom_site_fract_z
_atom_site_occupancy
Nb1 Nb 0.750 0.250 0.500 1
Hf1 Hf 0.121 0.625 0.250 1
Hf2 Hf 0.629 0.125 0.250 1
Hf3 Hf 0.375 0.371 0.750 1
Hf4 Hf 0.875 0.879 0.750 1
Nb2 Nb 0.000 0.000 0.000 1
Br1 Br 0.500 0.500 0.000 1
Br2 Br 0.250 0.750 0.500 1
# M_tot = 0.000 μB per atom
# Calculated density = 10.12 g/cm3
# Final energy = -57.76 eV/cell
# Fermi-level density of states = 8.100 states/eV per cell
# Energy above the lowest structure with this stoichiometry = 272 meV/atom
# E_form (uncorrected) = 0.69 eV per atom

=====

# Zr2NbNi2 | the Alexandria database | PBE | optimized geometry
data_Zr2NbNi2
_chemical_formula_sum 'Zr4 Nb2 Ni4'
_symmetry_space_group_name_H-M 'P 1'
_symmetry_Int_Tables_number 1
_cell_length_a 7.509
_cell_length_b 7.509
_cell_length_c 3.065
_cell_angle_alpha 90.00
_cell_angle_beta 90.00
_cell_angle_gamma 90.00
loop_
_symmetry_equiv_pos_as_xyz
'x,y,z'
loop_
_atom_site_label
_atom_site_type_symbol
_atom_site_fract_x
_atom_site_fract_y
_atom_site_fract_z
_atom_site_occupancy
Zr1 Zr 0.161 0.339 0.000 1
Zr2 Zr 0.339 0.839 0.000 1
Ni1 Ni 0.135 0.635 0.500 1
Ni2 Ni 0.865 0.365 0.500 1
Zr3 Zr 0.661 0.161 0.000 1
Nb1 Nb 0.000 0.000 0.000 1
Ni3 Ni 0.365 0.135 0.500 1
Nb2 Nb 0.500 0.500 0.000 1
Ni4 Ni 0.635 0.865 0.500 1
Zr4 Zr 0.839 0.661 0.000 1
# M_tot = 0.000 μB per atom
# Calculated density = 7.55 g/cm3
# Final energy = -78.04 eV/cell
# Formation enthalpy at 0 K = -0.059 eV/atom
# Fermi-level density of states = 9.045 states/eV per cell
# Energy above the lowest structure with this stoichiometry = 161 meV/atom

=====

# Zr2AlW | the Alexandria database | PBE | optimized geometry
data_Zr2AlW
_chemical_formula_sum 'Zr2 Al1 W1'
_symmetry_space_group_name_H-M 'P 1'
_symmetry_Int_Tables_number 1
_cell_length_a 5.508
_cell_length_b 5.508
_cell_length_c 5.508
_cell_angle_alpha 141.29
_cell_angle_beta 131.47
_cell_angle_gamma 63.73
loop_
_symmetry_equiv_pos_as_xyz
'x,y,z'
loop_
_atom_site_label
_atom_site_type_symbol
_atom_site_fract_x
_atom_site_fract_y
_atom_site_fract_z
_atom_site_occupancy
Al1 Al 0.482 0.482 0.000 1
W1 W 0.258 0.758 0.500 1
Zr1 Zr 0.011 0.011 0.000 1
Zr2 Zr 0.749 0.249 0.500 1
# M_tot = 0.000 μB per atom
# Calculated density = 8.45 g/cm3
# Final energy = -33.93 eV/cell
# Formation enthalpy at 0 K = -0.035 eV/atom
# Fermi-level density of states = 3.948 states/eV per cell

=====

# Te3IrPb | the Alexandria database | PBE | optimized geometry
data_Te3IrPb
_chemical_formula_sum 'Te3 Ir1 Pb1'
_symmetry_space_group_name_H-M 'P 1'
_symmetry_Int_Tables_number 1
_cell_length_a 5.314
_cell_length_b 5.314
_cell_length_c 5.314
_cell_angle_alpha 90.00
_cell_angle_beta 90.00
_cell_angle_gamma 90.00
loop_
_symmetry_equiv_pos_as_xyz
'x,y,z'
loop_
_atom_site_label
_atom_site_type_symbol
_atom_site_fract_x
_atom_site_fract_y
_atom_site_fract_z
_atom_site_occupancy
Te1 Te 0.500 0.000 0.000 1
Pb1 Pb 0.500 0.500 0.500 1
Ir1 Ir 0.000 0.000 0.000 1
Te2 Te 0.000 0.500 0.000 1
Te3 Te 0.000 0.000 0.500 1
# M_tot = 0.000 μB per atom
# Calculated density = 8.66 g/cm3
# Final energy = -20.57 eV/cell
# Fermi-level density of states = 6.782 states/eV per cell
# Energy above the lowest structure with this stoichiometry = 0 meV/atom
# E_form (uncorrected) = 0.29 eV per atom

=====

# CaRePb2 | the Alexandria database | PBE | optimized geometry
data_CaRePb2
_chemical_formula_sum 'Ca1 Re1 Pb2'
_symmetry_space_group_name_H-M 'P 1'
_symmetry_Int_Tables_number 1
_cell_length_a 5.329
_cell_length_b 5.329
_cell_length_c 3.466
_cell_angle_alpha 90.00
_cell_angle_beta 90.00
_cell_angle_gamma 105.30
loop_
_symmetry_equiv_pos_as_xyz
'x,y,z'
loop_
_atom_site_label
_atom_site_type_symbol
_atom_site_fract_x
_atom_site_fract_y
_atom_site_fract_z
_atom_site_occupancy
Re1 Re 0.500 0.000 0.500 1
Pb1 Pb 0.000 0.000 0.000 1
Ca1 Ca 0.000 0.500 0.500 1
Pb2 Pb 0.500 0.500 0.000 1
# M_tot = 0.318 μB per atom
# Calculated density = 11.21 g/cm3
# Final energy = -19.15 eV/cell
# Formation enthalpy at 0 K = 0.678 eV/atom
# Fermi-level density of states = 3.245 states/eV per cell
# Energy above the lowest structure with this stoichiometry = 300 meV/atom

=====

# AcCeSiO5 | the Alexandria database | PBE | optimized geometry
data_AcCeSiO5
_chemical_formula_sum 'Ac2 Ce2 Si2 O10'
_symmetry_space_group_name_H-M 'P 1'
_symmetry_Int_Tables_number 1
_cell_length_a 6.076
_cell_length_b 6.076
_cell_length_c 7.622
_cell_angle_alpha 100.13
_cell_angle_beta 100.13
_cell_angle_gamma 108.90
loop_
_symmetry_equiv_pos_as_xyz
'x,y,z'
loop_
_atom_site_label
_atom_site_type_symbol
_atom_site_fract_x
_atom_site_fract_y
_atom_site_fract_z
_atom_site_occupancy
O1 O 0.908 0.341 0.148 1
Si1 Si 0.683 0.317 0.250 1
O2 O 0.437 0.276 0.091 1
Ce1 Ce 0.000 0.000 0.000 1
O3 O 0.276 0.437 0.591 1
O4 O 0.724 0.563 0.409 1
O5 O 0.092 0.659 0.852 1
O6 O 0.341 0.908 0.648 1
Ac1 Ac 0.347 0.653 0.250 1
Si2 Si 0.317 0.683 0.750 1
O7 O 0.889 0.111 0.750 1
O8 O 0.111 0.889 0.250 1
Ac2 Ac 0.653 0.347 0.750 1
O9 O 0.563 0.724 0.909 1
O10 O 0.659 0.092 0.352 1
Ce2 Ce 0.000 0.000 0.500 1
# M_tot = 0.123 μB per atom
# Calculated density = 6.22 g/cm3
# Final energy = -131.00 eV/cell
# Fermi-level density of states = 7.203 states/eV per cell
# E_form (uncorrected) = -3.16 eV per atom

=====

Please write out number 6 again, unchanged.
# Te3IrPb | the Alexandria database | PBE | optimized geometry
data_Te3IrPb
_chemical_formula_sum 'Te3 Ir1 Pb1'
_symmetry_space_group_name_H-M 'P 1'
_symmetry_Int_Tables_number 1
_cell_length_a 5.314
_cell_length_b 5.314
_cell_length_c 5.314
_cell_angle_alpha 90.00
_cell_angle_beta 90.00
_cell_angle_gamma 90.00
loop_
_symmetry_equiv_pos_as_xyz
'x,y,z'
loop_
_atom_site_label
_atom_site_type_symbol
_atom_site_fract_x
_atom_site_fract_y
_atom_site_fract_z
_atom_site_occupancy
Te1 Te 0.500 0.000 0.000 1
Pb1 Pb 0.500 0.500 0.500 1
Ir1 Ir 0.000 0.000 0.000 1
Te2 Te 0.000 0.500 0.000 1
Te3 Te 0.000 0.000 0.500 1
# M_tot = 0.000 μB per atom
# Calculated density = 8.66 g/cm3
# Final energy = -20.57 eV/cell
# Fermi-level density of states = 6.782 states/eV per cell
# Energy above the lowest structure with this stoichiometry = 0 meV/atom
# E_form (uncorrected) = 0.29 eV per atom

=====

Repeat the fifth record exactly.
# Zr2AlW | the Alexandria database | PBE | optimized geometry
data_Zr2AlW
_chemical_formula_sum 'Zr2 Al1 W1'
_symmetry_space_group_name_H-M 'P 1'
_symmetry_Int_Tables_number 1
_cell_length_a 5.508
_cell_length_b 5.508
_cell_length_c 5.508
_cell_angle_alpha 141.29
_cell_angle_beta 131.47
_cell_angle_gamma 63.73
loop_
_symmetry_equiv_pos_as_xyz
'x,y,z'
loop_
_atom_site_label
_atom_site_type_symbol
_atom_site_fract_x
_atom_site_fract_y
_atom_site_fract_z
_atom_site_occupancy
Al1 Al 0.482 0.482 0.000 1
W1 W 0.258 0.758 0.500 1
Zr1 Zr 0.011 0.011 0.000 1
Zr2 Zr 0.749 0.249 0.500 1
# M_tot = 0.000 μB per atom
# Calculated density = 8.45 g/cm3
# Final energy = -33.93 eV/cell
# Formation enthalpy at 0 K = -0.035 eV/atom
# Fermi-level density of states = 3.948 states/eV per cell

=====

Which value of Fermi-level density of states does entry 4 give? 9.045 states/eV per cell

=====

Among the records above, which one has the lowest final energy? AcCeSiO5